(1)
The following is a DFT calculation (PBE-GGA) of an optimized crystal structure of KGeBr2F.

**Uncorrected formation energy**: -1464 meV/atom
**Total moment**: 0.00 μB per formula unit
**Crystal system**: tetragonal

Cell and atoms, written as CIF:
```
data_KGeBr2F
_cell_length_a 5.6663
_cell_length_b 5.6663
_cell_length_c 4.3074
_cell_angle_alpha 90.00
_cell_angle_beta 90.00
_cell_angle_gamma 90.00
_space_group_name_H-M_alt 'P 1'
_space_group_IT_number 1
_space_group_name_Hall 'P 1'
loop_
_atom_site_label
_atom_site_fract_x
_atom_site_fract_y
_atom_site_fract_z
F1 0.0000 0.0000 0.5000
Ge1 0.0000 0.0000 0.0000
K1 0.5000 0.5000 0.5000
Br1 0.5000 0.0000 0.0000
Br2 0.0000 0.5000 0.0000
```


(2)
The following is a DFT calculation (PBE-GGA) of an optimized crystal structure of HfTiGa2.

**Total moment**: 0.00 μB per formula unit
**Crystal system**: tetragonal

Cell and atoms, written as CIF:
```
data_HfTiGa2
_cell_length_a 4.0309
_cell_length_b 4.1183
_cell_length_c 4.1183
_cell_angle_alpha 90.00
_cell_angle_beta 90.00
_cell_angle_gamma 90.00
_space_group_name_H-M_alt 'P 1'
_space_group_IT_number 1
_space_group_name_Hall 'P 1'
loop_
_atom_site_label
_atom_site_fract_x
_atom_site_fract_y
_atom_site_fract_z
Ga1 0.0000 0.0000 0.5000
Ga2 0.0000 0.5000 0.0000
Hf1 0.5000 0.0000 0.0000
Ti1 0.5000 0.5000 0.5000
```


Number 1: energy -18.3 eV per cell, calculated density 3.49 g/cm3. Number 2: energy -25.6 eV per cell, calculated density 8.89 g/cm3.